(1)
VASP calculation (PBE) on crystalline CuNiOs at its relaxed geometry.

As for the offset from the most stable computed form: 76.9 meV per atom. As for the formation energy: 0.223 eV/atom. As for the uncorrected energy: -6.813 eV per atom.

It has space group I4mm (No. 107), with a = 2.613 Å, b = 2.613 Å, c = 11.038 Å, α = 90.00°, β = 90.00° and γ = 90.00°. The distinct sites, in fractional coordinates, are Cu at (0.000, 0.000, 0.000), Ni at (0.000, 0.000, 0.336) and Os at (0.000, 0.000, 0.678).

=====

(2)
VASP calculation (PBE) on crystalline Dy6Sb2Te3S at its relaxed geometry.

For the formation energy (no corrections), the calculation gives -1.3721 eV per atom. As for the uncorrected energy: -5.490 eV per atom.

It has space group C2/m (No. 12), with a = 18.889 Å, b = 4.268 Å, c = 8.637 Å, α = 90.00°, β = 103.96° and γ = 90.00°. The distinct sites, in fractional coordinates, are Dy at (0.000, 0.000, 0.213), Dy at (0.148, 0.500, 0.077), Dy at (0.167, 0.500, 0.577), Sb at (0.166, 0.000, 0.330), Te at (0.000, 0.500, 0.500), Te at (0.171, 0.000, 0.837) and S at (0.000, 0.500, 0.000).

=====

(3)
VASP calculation (PBE) on crystalline Nd2AlZn4Si3 at its relaxed geometry.

For the formation energy (no corrections), the calculation gives -0.3767 eV per atom. As for the uncorrected energy: -3.841 eV per atom.

It has space group P-4m2 (No. 115), with a = 4.187 Å, b = 4.187 Å, c = 10.566 Å, α = 90.00°, β = 90.00° and γ = 90.00°. The distinct sites, in fractional coordinates, are Nd at (0.000, 0.500, 0.248), Al at (0.000, 0.000, 0.500), Zn at (0.000, 0.000, 0.000), Zn at (0.000, 0.500, 0.637), Zn at (0.500, 0.500, 0.000), Si at (0.000, 0.500, 0.865) and Si at (0.500, 0.500, 0.500).

=====

(4)
VASP calculation (PBE) on crystalline MgCu2Si at its relaxed geometry.

For the formation energy (no corrections), the calculation gives -0.0229 eV per atom. As for the uncorrected energy: -3.825 eV per atom.

It has space group Pm (No. 6), with a = 2.836 Å, b = 4.121 Å, c = 5.066 Å, α = 90.00°, β = 105.58° and γ = 90.00°. The distinct sites, in fractional coordinates, are Mg at (0.000, 0.000, 0.000), Cu at (0.344, 0.500, 0.696), Cu at (0.734, 0.000, 0.485) and Si at (0.620, 0.500, 0.251).

=====

(5)
VASP calculation (PBE) on crystalline KSbOs2 at its relaxed geometry.

For the formation energy (no corrections), the calculation gives 1.4782 eV per atom. As for the uncorrected energy: -5.442 eV per atom.

It has space group Pmmm (No. 47), with a = 2.800 Å, b = 5.077 Å, c = 5.550 Å, α = 90.00°, β = 90.00° and γ = 90.00°. The distinct sites, in fractional coordinates, are K at (0.000, 0.000, 0.000), Sb at (0.500, 0.500, 0.000), Os at (0.000, 0.500, 0.500) and Os at (0.500, 0.000, 0.500).

=====

(6)
VASP calculation (PBE) on crystalline V2Mo8W at its relaxed geometry.

As for the formation energy: 0.616 eV/atom. As for the uncorrected energy: -10.097 eV per atom.

It has space group C2/m (No. 12), with a = 7.095 Å, b = 8.390 Å, c = 6.732 Å, α = 90.00°, β = 110.52° and γ = 90.00°. The distinct sites, in fractional coordinates, are V at (0.187, 0.000, 0.064), Mo at (0.091, 0.252, 0.784), Mo at (0.106, 0.000, 0.385), Mo at (0.139, 0.500, 0.187) and W at (0.000, 0.500, 0.500).

=====

In the order shown, the computed spin magnetization values come out to 0.0; 0.0; 0.0; 0.0; 0.2; 0.0 μB per formula unit.